! Tb4Sm4Dy PBE relaxed; values from VASP
&SYSTEM
  ibrav = 0, nat = 9, ntyp = 3
/
ATOMIC_SPECIES
Sm 150.36 Sm.upf
Tb 158.93 Tb.upf
Dy 162.50 Dy.upf
CELL_PARAMETERS angstrom
5.439 0.004 1.288
2.003 7.792 3.703
0.876 2.990 8.459
ATOMIC_POSITIONS crystal
Sm 0.282 0.147 0.289
Sm 0.718 0.853 0.711
Sm 0.868 0.302 0.963
Sm 0.132 0.698 0.037
Tb 0.927 0.766 0.382
Tb 0.073 0.234 0.618
Tb 0.369 0.571 0.691
Tb 0.631 0.429 0.309
Dy 0.500 0.000 0.000
! Excess energy over the best structure of this formula in the dataset, eV per atom: 0.088
! ΔH_f (0 K), eV per atom: 0.104
! Space group: No. 2
! Total moment, μB per cell: 0.000
! Calculated volume, Å³ per cell: 297.2
! VASP energy, eV for the cell shown: -41.065